[1]
SrGa9Pd2 | PBE | optimized geometry

abc: 7.7430 8.5219 8.5219
angles: 78.09 62.98 62.98
Fractional coordinates of all 24 atoms:
Ga (0.7415, 0.5816, 0.8242)
Ga (0.0730, 0.9184, 0.3242)
Ga (0.1473, 0.4184, 0.1758)
Ga (0.7500, 0.5000, 0.5000)
Ga (0.3157, 0.6758, 0.0816)
Ga (0.0085, 0.6758, 0.9184)
Ga (0.4343, 0.8242, 0.4184)
Ga (0.6770, 0.1758, 0.5816)
Ga (0.0000, 0.0000, 0.0000)
Ga (0.0085, 0.9184, 0.6758)
Ga (0.6770, 0.5816, 0.1758)
Ga (0.4343, 0.4184, 0.8242)
Ga (0.1473, 0.1758, 0.4184)
Ga (0.6027, 0.3242, 0.0816)
Ga (0.0730, 0.3242, 0.9184)
Ga (0.6027, 0.0816, 0.3242)
Ga (0.3157, 0.0816, 0.6758)
Ga (0.7415, 0.8242, 0.5816)
Pd (0.8750, 0.7500, 0.2500)
Pd (0.3750, 0.7500, 0.7500)
Pd (0.8750, 0.2500, 0.2500)
Pd (0.8750, 0.2500, 0.7500)
Sr (0.2500, 0.5000, 0.5000)
Sr (0.5000, 0.0000, 0.0000)

Its symmetry is I4_1/amd (141). As for the formation energy: -0.353 eV per atom. The magnetization comes out at 0.00 μB per formula unit.



[2]
Sr3Ga8Pd3 | PBE | optimized geometry

abc: 4.4035 8.5082 8.5082
angles: 74.29 75.00 75.00
Fractional coordinates of all 14 atoms:
Ga (0.8232, 0.8203, 0.5333)
Ga (0.6187, 0.0978, 0.6647)
Ga (0.1768, 0.4667, 0.1797)
Ga (0.6187, 0.6647, 0.0978)
Ga (0.8232, 0.5333, 0.8203)
Ga (0.3813, 0.9022, 0.3353)
Ga (0.3813, 0.3353, 0.9022)
Ga (0.1768, 0.1797, 0.4667)
Pd (0.0000, 0.7640, 0.2360)
Pd (0.0000, 0.2360, 0.7640)
Pd (0.5000, 0.0000, 0.0000)
Sr (0.5000, 0.5000, 0.5000)
Sr (0.1785, 0.8215, 0.8215)
Sr (0.8215, 0.1785, 0.1785)

Its symmetry is Immm (71). As for the formation energy: -0.578 eV per atom. The magnetization comes out at 0.00 μB per formula unit.